Here is crystalline AgOsS2N at its relaxed geometry from Alexandria. Energies are from PBE.

Values from the calculation:
Formation energy without anion corrections = 523 meV/atom
Relative energy among the computed polymorphs = 0 meV per atom

a = 4.863 Å, b = 4.863 Å, c = 3.679 Å
α = 90.00°, β = 90.00°, γ = 90.00°
Fractional positions:
S 0.000 0.500 0.000
S 0.500 0.000 0.000
Os 0.000 0.000 0.000
Ag 0.500 0.500 0.500
N 0.000 0.000 0.500

---

Here is crystalline Ca2TaMn at its relaxed geometry from Alexandria. Energies are from PBE.

Values from the calculation:
Relative energy among the computed polymorphs = 469 meV per atom
DFT formation energy = 0.778 eV/atom

a = 5.043 Å, b = 5.043 Å, c = 5.043 Å
α = 119.97°, β = 119.97°, γ = 90.04°
Site moments in Bohr magnetons follow the coordinates.
Fractional positions:
Ca 0.000 0.000 0.000  -0.10
Ca 0.250 0.750 0.500  -0.02
Mn 0.500 0.500 0.000  3.36
Ta 0.750 0.250 0.500  -1.27

---

Here is crystalline LiGe2F11 at its relaxed geometry from Alexandria. Energies are from PBE.

Values from the calculation:
Formation energy without anion corrections = -2037 meV/atom

a = 8.678 Å, b = 8.042 Å, c = 8.036 Å
α = 71.85°, β = 57.36°, γ = 57.30°
Site moments in Bohr magnetons follow the coordinates.
Fractional positions:
Li 0.751 0.775 0.725  0.00
Li 0.250 0.275 0.225  0.00
Ge 0.586 0.740 0.260  0.00
Ge 0.343 0.290 0.710  0.00
Ge 0.914 0.240 0.760  0.00
Ge 0.157 0.791 0.209  0.00
F 0.457 0.742 0.524  0.09
F 0.418 0.287 0.454  -0.14
F 0.160 0.546 0.713  -0.14
F 0.044 0.976 0.758  -0.09
F 0.723 0.476 0.258  0.09
F 0.081 0.046 0.212  0.14
F 0.339 0.788 0.954  0.14
F 0.777 0.242 0.024  -0.09
F 0.545 0.371 0.629  0.45
F 0.955 0.871 0.129  -0.45
F 0.805 0.713 0.287  -0.41
F 0.135 0.222 0.778  0.01
F 0.696 0.213 0.787  0.41
F 0.365 0.722 0.278  -0.01
F 0.458 0.006 0.249  0.06
F 0.526 0.033 0.704  -0.05
F 0.263 0.296 0.967  -0.05
F 0.042 0.251 0.494  -0.06
F 0.714 0.751 0.994  0.06
F 0.974 0.797 0.467  0.05
F 0.238 0.533 0.203  0.05
F 0.786 0.506 0.749  -0.06

---

Here is crystalline Sr2MgAg at its relaxed geometry from Alexandria. Energies are from PBE.

Values from the calculation:
DFT formation energy = 0.095 eV/atom

a = 9.048 Å, b = 9.048 Å, c = 7.387 Å
α = 52.23°, β = 52.23°, γ = 90.00°
Fractional positions:
Sr 0.662 0.125 0.250
Sr 0.088 0.625 0.250
Sr 0.375 0.338 0.750
Sr 0.875 0.912 0.750
Mg 0.500 0.500 0.000
Mg 0.250 0.750 0.500
Ag 0.000 0.000 0.000
Ag 0.750 0.250 0.500

---

Here is crystalline RbAlCu3 at its relaxed geometry from Alexandria. Energies are from PBE.

Values from the calculation:
Relative energy among the computed polymorphs = 0 meV per atom
DFT formation energy = 0.423 eV/atom

a = 4.857 Å, b = 4.857 Å, c = 4.857 Å
α = 90.00°, β = 90.00°, γ = 90.00°
Fractional positions:
Cu 0.000 0.500 0.000
Cu 0.000 0.000 0.500
Cu 0.500 0.000 0.000
Rb 0.500 0.500 0.500
Al 0.000 0.000 0.000

---

Here is crystalline PrYPa at its relaxed geometry from Alexandria. Energies are from PBE.

Values from the calculation:
Relative energy among the computed polymorphs = 0 meV per atom
DFT formation energy = 0.172 eV/atom

a = 3.471 Å, b = 3.471 Å, c = 8.742 Å
α = 90.00°, β = 90.00°, γ = 120.00°
Fractional positions:
Pr 0.333 0.667 0.681
Y 0.667 0.333 0.316
Pa 0.000 0.000 0.003